Entry 1:
## ZrHgAu (PBEsol)

Data for an optimized crystal structure of ZrHgAu.

The structure in POSCAR format:
```
ZrHgAu
1.0
-1.612 1.612 5.612
1.612 -1.612 5.612
1.612 1.612 -5.612
Zr Hg Au
1 1 1
direct
0.000 0.000 0.000
0.323 0.323 0.000
0.658 0.658 0.000
```

Calculated values
Energy, eV per atom: -4.88



Entry 2:
## Y2AgSbPd (PBEsol)

Data for an optimized crystal structure of Y2AgSbPd.

The structure in POSCAR format:
```
Y2AgSbPd
1.0
5.389 0.000 0.000
0.000 5.389 0.000
0.000 0.000 4.905
Y Ag Sb Pd
2 1 1 1
direct
0.000 0.500 0.000
0.500 0.000 0.000
0.000 0.000 0.000
0.000 0.000 0.500
0.500 0.500 0.500
```

Calculated values
Energy relative to the elements, uncorrected, eV per atom: 0.344